Arrangement w

First-principles (PBE) data for a relaxed Y5Er2Sc2 crystal, as listed in the Alexandria database.

a = 9.667 Å, b = 5.505 Å, c = 11.730 Å
α = 103.57°, β = 114.33°, γ = 90.00°
Sites, in units of the cell vectors:
Y: 0.030 0.428 0.781
Y: 0.970 0.647 0.219
Y: 0.251 0.928 0.781
Y: 0.749 0.147 0.219
Y: 0.288 0.198 0.322
Y: 0.712 0.876 0.678
Y: 0.534 0.698 0.322
Y: 0.466 0.376 0.678
Y: 0.301 0.787 0.500
Y: 0.699 0.287 0.500
Er: 0.000 0.038 0.000
Er: 0.500 0.538 0.000
Er: 0.083 0.287 0.500
Er: 0.917 0.787 0.500
Sc: 0.209 0.584 0.094
Sc: 0.791 0.491 0.906
Sc: 0.384 0.084 0.094
Sc: 0.616 0.991 0.906


Arrangement x

First-principles (PBE) data for a relaxed Y5Er2Sc2 crystal, as listed in the Alexandria database.

a = 4.920 Å, b = 9.248 Å, c = 7.798 Å
α = 53.89°, β = 71.61°, γ = 74.58°
Sites, in units of the cell vectors:
Y: 0.335 0.001 0.329
Y: 0.665 0.999 0.671
Y: 0.221 0.663 0.895
Y: 0.779 0.337 0.105
Y: 0.000 0.000 0.000
Er: 0.107 0.337 0.449
Er: 0.893 0.663 0.551
Sc: 0.445 0.340 0.769
Sc: 0.555 0.660 0.231


The structure shown above that is least stable: arrangement w.